# Nd3Ge7Au2 | Alexandria | PBE | optimized geometry
# - Energy relative to the elements: -6.116 eV/f.u.
data_Nd3Ge7Au2
_space_group_name_H-M_alt 'P 1 2/m 1'
_space_group_IT_number 10
_cell_length_a 4.691
_cell_length_b 4.167
_cell_length_c 13.721
_cell_angle_alpha 90.00
_cell_angle_beta 98.57
_cell_angle_gamma 90.00
loop_
_space_group_symop_operation_xyz
'x,y,z'
'-x,-y,-z'
'-x,y,-z'
'x,-y,z'
loop_
_atom_site_label
_atom_site_type_symbol
_atom_site_fract_x
_atom_site_fract_y
_atom_site_fract_z
_atom_site_occupancy
Nd1 Nd 0.000 0.000 0.000 1
Nd2 Nd 0.303 0.500 0.631 1
Ge1 Ge 0.044 0.500 0.831 1
Ge2 Ge 0.232 0.000 0.462 1
Ge3 Ge 0.412 0.000 0.835 1
Ge4 Ge 0.500 0.500 0.000 1
Au1 Au 0.192 0.000 0.276 1


# Er3HfTl3Te8 | Alexandria | PBE | optimized geometry
# - Formation energy (no corrections): -95 kJ per mole of atoms
data_Er3HfTl3Te8
_space_group_name_H-M_alt 'R -3 m'
_space_group_IT_number 166
_space_group_name_Hall '-R 3 2"'
_cell_length_a 8.6501
_cell_length_b 8.6501
_cell_length_c 24.9537
_cell_angle_alpha 90.00
_cell_angle_beta 90.00
_cell_angle_gamma 120.00
loop_
_atom_site_label
_atom_site_type_symbol
_atom_site_fract_x
_atom_site_fract_y
_atom_site_fract_z
_atom_site_occupancy
Er1 Er 0.0000 0.5000 0.0000 1
Hf1 Hf 0.0000 0.0000 0.0000 1
Tl1 Tl 0.0000 0.5000 0.5000 1
Te1 Te 0.0000 0.0000 0.2626 1
Te2 Te 0.0137 0.5068 0.7351 1


# NbCuNiRu | Alexandria | PBE | optimized geometry
# - Energy relative to the elements: -0.621 eV/f.u.
data_NbCuNiRu
_space_group_name_H-M_alt 'P m m m'
_space_group_IT_number 47
_cell_length_a 3.578
_cell_length_b 3.800
_cell_length_c 4.017
_cell_angle_alpha 90.00
_cell_angle_beta 90.00
_cell_angle_gamma 90.00
loop_
_space_group_symop_operation_xyz
'x,y,z'
'-x,-y,-z'
'-x,-y,z'
'x,y,-z'
'x,-y,-z'
'-x,y,z'
'-x,y,-z'
'x,-y,z'
loop_
_atom_site_label
_atom_site_type_symbol
_atom_site_fract_x
_atom_site_fract_y
_atom_site_fract_z
_atom_site_occupancy
Nb1 Nb 0.000 0.000 0.000 1
Cu1 Cu 0.000 0.500 0.500 1
Ni1 Ni 0.500 0.000 0.500 1
Ru1 Ru 0.500 0.500 0.000 1


# Sm2Dy7Y2 | Alexandria | PBE | optimized geometry
# - Energy relative to the elements: 1.679 eV/f.u.
data_Sm2Dy7Y2
_space_group_name_H-M_alt 'C 1 2/m 1'
_space_group_IT_number 12
_cell_length_a 11.294
_cell_length_b 11.477
_cell_length_c 6.080
_cell_angle_alpha 90.00
_cell_angle_beta 113.73
_cell_angle_gamma 90.00
loop_
_space_group_symop_operation_xyz
'x,y,z'
'-x,-y,-z'
'-x,y,-z'
'x,-y,z'
'x+1/2,y+1/2,z'
'-x+1/2,-y+1/2,-z'
'-x+1/2,y+1/2,-z'
'x+1/2,-y+1/2,z'
loop_
_atom_site_label
_atom_site_type_symbol
_atom_site_fract_x
_atom_site_fract_y
_atom_site_fract_z
_atom_site_occupancy
Sm1 Sm 0.089 0.000 0.306 1
Dy1 Dy 0.000 0.500 0.500 1
Dy2 Dy 0.175 0.264 0.677 1
Dy3 Dy 0.232 0.500 0.081 1
Y1 Y 0.000 0.286 0.000 1


# CsPuPdF6 | Alexandria | PBE | optimized geometry
# - Formation energy (no corrections): -254 kJ per mole of atoms
data_CsPuPdF6
_space_group_name_H-M_alt 'I m m a'
_space_group_IT_number 74
_space_group_name_Hall '-I 2b 2'
_cell_length_a 7.374
_cell_length_b 9.040
_cell_length_c 11.648
_cell_angle_alpha 90.00
_cell_angle_beta 90.00
_cell_angle_gamma 90.00
loop_
_atom_site_label
_atom_site_type_symbol
_atom_site_fract_x
_atom_site_fract_y
_atom_site_fract_z
_atom_site_occupancy
Cs1 Cs 0.000 0.250 0.104 1
Pu1 Pu 0.000 0.000 0.500 1
Pd1 Pd 0.250 0.250 0.750 1
F1 F 0.000 0.250 0.491 1
F2 F 0.000 0.250 0.837 1
F3 F 0.209 0.005 0.373 1


# NdPuIn6 | Alexandria | PBE | optimized geometry
# - Energy relative to the elements: -2.803 eV/f.u.
data_NdPuIn6
_space_group_name_H-M_alt 'P 4/m m m'
_space_group_IT_number 123
_space_group_name_Hall '-P 4 2'
_cell_length_a 6.615
_cell_length_b 6.615
_cell_length_c 4.694
_cell_angle_alpha 90.00
_cell_angle_beta 90.00
_cell_angle_gamma 90.00
loop_
_atom_site_label
_atom_site_type_symbol
_atom_site_fract_x
_atom_site_fract_y
_atom_site_fract_z
_atom_site_occupancy
Nd1 Nd 0.000 0.000 0.000 1
Pu1 Pu 0.500 0.500 0.000 1
In1 In 0.000 0.500 0.000 1
In2 In 0.253 0.253 0.500 1


# Th3Te2Os | Alexandria | PBE | optimized geometry
# - Formation energy (no corrections): -88 kJ per mole of atoms
data_Th3Te2Os
_space_group_name_H-M_alt 'I m m m'
_space_group_IT_number 71
_space_group_name_Hall '-I 2 2'
_cell_length_a 4.164
_cell_length_b 6.260
_cell_length_c 14.008
_cell_angle_alpha 90.00
_cell_angle_beta 90.00
_cell_angle_gamma 90.00
loop_
_atom_site_label
_atom_site_type_symbol
_atom_site_fract_x
_atom_site_fract_y
_atom_site_fract_z
_atom_site_occupancy
Th1 Th 0.000 0.000 0.000 1
Th2 Th 0.000 0.000 0.368 1
Te1 Te 0.000 0.500 0.319 1
Os1 Os 0.000 0.500 0.000 1


# NdAl2GaPd4 | Alexandria | PBE | optimized geometry
# - Energy relative to the elements: -6.297 eV/f.u.
data_NdAl2GaPd4
_space_group_name_H-M_alt 'R -3 m'
_space_group_IT_number 166
_space_group_name_Hall '-R 3 2"'
_cell_length_a 4.3211
_cell_length_b 4.3211
_cell_length_c 26.2950
_cell_angle_alpha 90.00
_cell_angle_beta 90.00
_cell_angle_gamma 120.00
loop_
_atom_site_label
_atom_site_type_symbol
_atom_site_fract_x
_atom_site_fract_y
_atom_site_fract_z
_atom_site_occupancy
Nd1 Nd 0.0000 0.0000 0.0000 1
Al1 Al 0.0000 0.0000 0.2400 1
Ga1 Ga 0.0000 0.0000 0.5000 1
Pd1 Pd 0.0000 0.0000 0.1340 1
Pd2 Pd 0.0000 0.0000 0.4040 1


What V values result from the calculations? In sequence: 22.10, 35.93, 13.66, 32.79, 21.57, 25.68, 30.43, 17.72 A^3/atom.